Entry from Alexandria via LeMat-Bulk: a relaxed structure of CaLaH4 (PBE).

It has space group P4/mmm (No. 123), with a = 3.8749 Å, b = 3.8749 Å, c = 5.5984 Å, α = 90.00°, β = 90.00° and γ = 90.00°. The inequivalent atoms are Ca at (0.0000, 0.0000, 0.0000), La at (0.5000, 0.5000, 0.5000) and H at (0.0000, 0.5000, 0.2420).

For the electronic total energy, the calculation gives -3.99 eV/atom.


Entry from Alexandria via LeMat-Bulk: a relaxed structure of Na2GeBr (PBE).

It has space group I-42d (No. 122), with a = 8.0149 Å, b = 8.0149 Å, c = 6.7813 Å, α = 90.00°, β = 90.00° and γ = 90.00°. The inequivalent atoms are Na at (0.2305, 0.2500, 0.1250), Ge at (0.0000, 0.0000, 0.5000) and Br at (0.0000, 0.0000, 0.0000).

The calculation puts the energy above the most stable polymorph in this dataset at 0 meV per atom. Its uncorrected formation energy is -318 meV/atom. For the electronic total energy, the calculation gives -2.55 eV/atom.


Entry from Alexandria via LeMat-Bulk: a relaxed structure of CaEuMgGa (PBE).

It has space group F-43m (No. 216), with a = 7.6427 Å, b = 7.6427 Å, c = 7.6427 Å, α = 90.00°, β = 90.00° and γ = 90.00°. The inequivalent atoms are Ca at (0.0000, 0.0000, 0.0000), Eu at (0.0000, 0.0000, 0.5000), Mg at (0.2500, 0.2500, 0.2500) and Ga at (0.2500, 0.2500, 0.7500).

The calculation puts the calculated formation energy at -104.3 kJ/mol of formula units. For the electronic total energy, the calculation gives -4.49 eV/atom.


Entry from Alexandria via LeMat-Bulk: a relaxed structure of Re2NiPb (PBE).

It has space group I4/mmm (No. 139), with a = 3.8344 Å, b = 3.8344 Å, c = 8.7510 Å, α = 90.00°, β = 90.00° and γ = 90.00°. The inequivalent atoms are Re at (0.0000, 0.5000, 0.2500), Ni at (0.0000, 0.0000, 0.0000) and Pb at (0.0000, 0.0000, 0.5000).

The calculation puts the calculated formation energy at 328.2 kJ/mol of formula units. For the electronic total energy, the calculation gives -7.75 eV/atom.


Entry from Alexandria via LeMat-Bulk: a relaxed structure of ErZrSc2P4 (PBE).

It has space group P2/m (No. 10), with a = 6.5599 Å, b = 3.8034 Å, c = 6.5909 Å, α = 90.00°, β = 109.36° and γ = 90.00°. The inequivalent atoms are Er at (0.0000, 0.0000, 0.0000), Zr at (0.0000, 0.5000, 0.5000), Sc at (0.5000, 0.0000, 0.5000), Sc at (0.5000, 0.5000, 0.0000), P at (0.2546, 0.0000, 0.7457) and P at (0.2588, 0.5000, 0.2590).

The calculation puts the calculated formation energy at -1154.1 kJ/mol of formula units. For the electronic total energy, the calculation gives -7.42 eV/atom.


Entry from Alexandria via LeMat-Bulk: a relaxed structure of YPb (PBE).

It has space group Cm (No. 8), with a = 12.7880 Å, b = 3.6071 Å, c = 8.2956 Å, α = 90.00°, β = 108.04° and γ = 90.00°. The inequivalent atoms are Y at (0.0000, 0.0000, 0.0000), Y at (0.1057, 0.5000, 0.7014), Y at (0.3295, 0.0000, 0.6125), Pb at (0.1725, 0.5000, 0.2995), Pb at (0.2801, 0.0000, 0.9811) and Pb at (0.4531, 0.5000, 0.3663).

The calculation puts the calculated formation energy at -49.4 kJ/mol of formula units. For the electronic total energy, the calculation gives -5.34 eV/atom.


Entry from Alexandria via LeMat-Bulk: a relaxed structure of Pt2SeBr (PBE).

It has space group Pm (No. 6), with a = 4.7913 Å, b = 3.8519 Å, c = 4.8149 Å, α = 90.00°, β = 114.68° and γ = 90.00°. The inequivalent atoms are Pt at (0.0000, 0.0000, 0.0000), Pt at (0.2280, 0.5000, 0.7720), Se at (0.4269, 0.0000, 0.5753) and Br at (0.7651, 0.5000, 0.2355).

The calculation puts the energy above the most stable polymorph in this dataset at 199 meV per atom. Its uncorrected formation energy is -12 meV/atom. For the electronic total energy, the calculation gives -4.32 eV/atom.


Entry from Alexandria via LeMat-Bulk: a relaxed structure of Mg5H12Rh2 (PBE).

It has space group C2/m (No. 12), with a = 10.7854 Å, b = 5.4876 Å, c = 6.2898 Å, α = 90.00°, β = 106.74° and γ = 90.00°. The inequivalent atoms are Mg at (0.0000, 0.0000, 0.0000), Mg at (0.1874, 0.5000, 0.8512), Mg at (0.1899, 0.5000, 0.3338), H at (0.0002, 0.5000, 0.3066), H at (0.0032, 0.0000, 0.6818), H at (0.1598, 0.2510, 0.0819), H at (0.1660, 0.2552, 0.5739) and Rh at (0.0000, 0.2516, 0.5000).

For the electronic total energy, the calculation gives -3.45 eV/atom.


Entry from Alexandria via LeMat-Bulk: a relaxed structure of SbPb2Au (PBE).

It has space group Pmm2 (No. 25), with a = 3.8458 Å, b = 3.8571 Å, c = 7.4284 Å, α = 90.00°, β = 90.00° and γ = 90.00°. The inequivalent atoms are Sb at (0.0000, 0.0000, 0.0000), Pb at (0.0000, 0.0000, 0.4176), Pb at (0.5000, 0.5000, 0.7564) and Au at (0.5000, 0.5000, 0.1948).

Its uncorrected formation energy is 36 meV/atom. For the electronic total energy, the calculation gives -3.67 eV/atom.


Entry from Alexandria via LeMat-Bulk: a relaxed structure of Ho2FeSi4 (PBE).

It has space group Amm2 (No. 38), with a = 3.9810 Å, b = 4.0953 Å, c = 15.0440 Å, α = 90.00°, β = 90.00° and γ = 90.00°. The inequivalent atoms are Ho at (0.0000, 0.0000, 0.0000), Ho at (0.5000, 0.0000, 0.2027), Fe at (0.0000, 0.0000, 0.7964), Si at (0.0000, 0.0000, 0.3588), Si at (0.0000, 0.0000, 0.6461), Si at (0.5000, 0.0000, 0.5398) and Si at (0.5000, 0.0000, 0.8592).

The calculation puts the energy above the most stable polymorph in this dataset at 0 meV per atom. Its uncorrected formation energy is -616 meV/atom. For the electronic total energy, the calculation gives -6.23 eV/atom.


Entry from Alexandria via LeMat-Bulk: a relaxed structure of AcDyTlHg (PBE).

It has space group F-43m (No. 216), with a = 7.8929 Å, b = 7.8929 Å, c = 7.8929 Å, α = 90.00°, β = 90.00° and γ = 90.00°. The inequivalent atoms are Ac at (0.0000, 0.0000, 0.0000), Dy at (0.0000, 0.0000, 0.5000), Tl at (0.2500, 0.2500, 0.2500) and Hg at (0.2500, 0.2500, 0.7500).

The calculation puts the calculated formation energy at -142.6 kJ/mol of formula units. The calculation puts the energy above the most stable polymorph in this dataset at 33 meV per atom. For the electronic total energy, the calculation gives -3.21 eV/atom.


Entry from Alexandria via LeMat-Bulk: a relaxed structure of MnV2Pd6 (PBE).

It has space group C2/m (No. 12), with a = 8.6626 Å, b = 3.8992 Å, c = 8.2151 Å, α = 90.00°, β = 107.65° and γ = 90.00°. The inequivalent atoms are Mn at (0.0000, 0.0000, 0.0000), V at (0.1725, 0.5000, 0.2305), Pd at (0.0008, 0.0000, 0.3197), Pd at (0.1644, 0.5000, 0.8973) and Pd at (0.1683, 0.5000, 0.5586).

The calculation puts the calculated formation energy at -186.1 kJ/mol of formula units. The calculation puts the energy above the most stable polymorph in this dataset at 0 meV per atom. For the electronic total energy, the calculation gives -6.72 eV/atom.


Entry from Alexandria via LeMat-Bulk: a relaxed structure of Zr2CrHg (PBE).

It has space group R3m (No. 160, hexagonal axes), with a = 3.1904 Å, b = 3.1904 Å, c = 28.7588 Å, α = 90.00°, β = 90.00° and γ = 120.00°. The inequivalent atoms are Zr at (0.0000, 0.0000, 0.0000), Zr at (0.0000, 0.0000, 0.2443), Cr at (0.0000, 0.0000, 0.7439) and Hg at (0.0000, 0.0000, 0.4891).

The calculation puts the calculated formation energy at 107.9 kJ/mol of formula units. The calculation puts the energy above the most stable polymorph in this dataset at 294 meV per atom. For the electronic total energy, the calculation gives -6.48 eV/atom.


Entry from Alexandria via LeMat-Bulk: a relaxed structure of Na2Cd5Pd4 (PBE).

It has space group C2/m (No. 12), with a = 10.3268 Å, b = 5.9059 Å, c = 7.6122 Å, α = 90.00°, β = 104.81° and γ = 90.00°. The inequivalent atoms are Na at (0.0468, 0.0000, 0.2270), Cd at (0.0000, 0.5000, 0.0000), Cd at (0.1847, 0.2473, 0.6738), Pd at (0.0743, 0.5000, 0.3673) and Pd at (0.2431, 0.0000, 0.9969).

The calculation puts the calculated formation energy at -232.6 kJ/mol of formula units. For the electronic total energy, the calculation gives -2.76 eV/atom.


Entry from Alexandria via LeMat-Bulk: a relaxed structure of MgZnTc2 (PBE).

It has space group R-3m (No. 166, hexagonal axes), with a = 2.7821 Å, b = 2.7821 Å, c = 27.3522 Å, α = 90.00°, β = 90.00° and γ = 120.00°. The inequivalent atoms are Mg at (0.0000, 0.0000, 0.0000), Zn at (0.0000, 0.0000, 0.5000) and Tc at (0.0000, 0.0000, 0.2475).

The calculation puts the calculated formation energy at 96.0 kJ/mol of formula units. The calculation puts the energy above the most stable polymorph in this dataset at 300 meV per atom. For the electronic total energy, the calculation gives -5.65 eV/atom.


Entry from Alexandria via LeMat-Bulk: a relaxed structure of Cs2Ag2Pb (PBE).

It has space group P4/mbm (No. 127), with a = 7.8480 Å, b = 7.8480 Å, c = 6.0717 Å, α = 90.00°, β = 90.00° and γ = 90.00°. The inequivalent atoms are Cs at (0.1800, 0.3200, 0.0000), Ag at (0.1293, 0.6293, 0.5000) and Pb at (0.0000, 0.0000, 0.5000).

The calculation puts the calculated formation energy at 36.9 kJ/mol of formula units. The calculation puts the energy above the most stable polymorph in this dataset at 0 meV per atom. For the electronic total energy, the calculation gives -2.15 eV/atom.


Entry from Alexandria via LeMat-Bulk: a relaxed structure of MgNb2BiOs (PBE).

It has space group P4/mmm (No. 123), with a = 4.7762 Å, b = 4.7762 Å, c = 4.8818 Å, α = 90.00°, β = 90.00° and γ = 90.00°. The inequivalent atoms are Mg at (0.0000, 0.0000, 0.0000), Nb at (0.0000, 0.5000, 0.0000), Bi at (0.0000, 0.0000, 0.5000) and Os at (0.5000, 0.5000, 0.5000).

The calculation puts the calculated formation energy at 1024.8 kJ/mol of formula units. For the electronic total energy, the calculation gives -5.24 eV/atom.